No. 1
# BeGaRu3 (SCAN, single point on PBEsol structure)
data_BeGaRu3
_chemical_formula_sum 'Be1 Ga1 Ru3'
_space_group_name_H-M_alt 'P 1'
_space_group_IT_number 1
_cell_length_a 4.0481
_cell_length_b 4.0481
_cell_length_c 4.0481
_cell_angle_alpha 90.00
_cell_angle_beta 90.00
_cell_angle_gamma 90.00
loop_
_space_group_symop_operation_xyz
'x,y,z'
loop_
_atom_site_label
_atom_site_type_symbol
_atom_site_fract_x
_atom_site_fract_y
_atom_site_fract_z
_atom_site_occupancy
Be1 Be 0.0000 0.0000 0.0000 1
Ga1 Ga 0.5000 0.5000 0.5000 1
Ru1 Ru 0.0000 0.0000 0.5000 1
Ru2 Ru 0.0000 0.5000 0.0000 1
Ru3 Ru 0.5000 0.0000 0.0000 1
# * energy of formation: 39 kJ/mol of atoms


No. 2
# BeGaS2 (SCAN, single point on PBEsol structure)
data_BeGaS2
_chemical_formula_sum 'Be3 Ga3 S6'
_space_group_name_H-M_alt 'P 1'
_space_group_IT_number 1
_cell_length_a 3.6506
_cell_length_b 3.6506
_cell_length_c 19.5207
_cell_angle_alpha 90.00
_cell_angle_beta 90.00
_cell_angle_gamma 120.00
loop_
_space_group_symop_operation_xyz
'x,y,z'
loop_
_atom_site_label
_atom_site_type_symbol
_atom_site_fract_x
_atom_site_fract_y
_atom_site_fract_z
_atom_site_occupancy
Be1 Be 0.0000 0.0000 0.0000 1
Be2 Be 0.3333 0.6667 0.6667 1
Be3 Be 0.6667 0.3333 0.3333 1
Ga1 Ga 0.0000 0.0000 0.5000 1
Ga2 Ga 0.3333 0.6667 0.1667 1
Ga3 Ga 0.6667 0.3333 0.8333 1
S1 S 0.0000 0.0000 0.0975 1
S2 S 0.0000 0.0000 0.9025 1
S3 S 0.3333 0.6667 0.5692 1
S4 S 0.3333 0.6667 0.7641 1
S5 S 0.6667 0.3333 0.2359 1
S6 S 0.6667 0.3333 0.4308 1
# * formation energy from raw total energies: -0.37 eV/atom


No. 3
# BeGaS2 (SCAN, single point on PBEsol structure)
data_BeGaS2
_chemical_formula_sum 'Be4 Ga4 S8'
_space_group_name_H-M_alt 'P 1'
_space_group_IT_number 1
_cell_length_a 5.4770
_cell_length_b 5.4770
_cell_length_c 9.6331
_cell_angle_alpha 90.00
_cell_angle_beta 90.00
_cell_angle_gamma 90.00
loop_
_space_group_symop_operation_xyz
'x,y,z'
loop_
_atom_site_label
_atom_site_type_symbol
_atom_site_fract_x
_atom_site_fract_y
_atom_site_fract_z
_atom_site_occupancy
Be1 Be 0.0000 0.0000 0.0000 1
Be2 Be 0.0000 0.5000 0.2500 1
Be3 Be 0.5000 0.0000 0.7500 1
Be4 Be 0.5000 0.5000 0.5000 1
Ga1 Ga 0.0000 0.0000 0.5000 1
Ga2 Ga 0.0000 0.5000 0.7500 1
Ga3 Ga 0.5000 0.0000 0.2500 1
Ga4 Ga 0.5000 0.5000 0.0000 1
S1 S 0.1890 0.2500 0.1250 1
S2 S 0.2500 0.6890 0.3750 1
S3 S 0.2500 0.8110 0.8750 1
S4 S 0.3110 0.2500 0.6250 1
S5 S 0.6890 0.7500 0.6250 1
S6 S 0.7500 0.1890 0.8750 1
S7 S 0.7500 0.3110 0.3750 1
S8 S 0.8110 0.7500 0.1250 1
# * formation energy from raw total energies: -0.61 eV/atom